# PBE BC3, optimized geometry
# - DFT formation energy: 0.307 eV per atom
# - Energy above the lowest structure with this stoichiometry: 66.7 meV/atom
# - Crystal system: monoclinic
# - DOS(E_F): 2.8 states/eV per cell
# - Raw total energy: -33.120 eV/f.u.
data_BC3
_chemical_formula_sum 'B4 C12'
_space_group_name_H-M_alt 'C 1 m 1'
_space_group_IT_number 8
_space_group_name_Hall 'C -2y'
_cell_length_a 8.631
_cell_length_b 2.496
_cell_length_c 4.640
_cell_angle_alpha 90.00
_cell_angle_beta 97.74
_cell_angle_gamma 90.00
loop_
_atom_site_label
_atom_site_type_symbol
_atom_site_fract_x
_atom_site_fract_y
_atom_site_fract_z
B1 B 0.000 0.000 0.000
B2 B 0.246 0.000 0.751
C1 C 0.171 0.500 0.531
C2 C 0.191 0.000 0.069
C3 C 0.244 0.500 0.245
C4 C 0.430 0.500 0.308
C5 C 0.432 0.000 0.781
C6 C 0.491 0.000 0.485



# PBE Pr3Be2Pt4, optimized geometry
# - DFT formation energy: -0.905 eV per atom
# - Crystal system: monoclinic
# - DOS(E_F): 11.0 states/eV per cell
# - Raw total energy: -54.102 eV/f.u.
data_Pr3Be2Pt4
_chemical_formula_sum 'Pr6 Be4 Pt8'
_space_group_name_H-M_alt 'C 1 2/m 1'
_space_group_IT_number 12
_space_group_name_Hall '-C 2y'
_cell_length_a 11.094
_cell_length_b 4.095
_cell_length_c 8.587
_cell_angle_alpha 90.00
_cell_angle_beta 105.87
_cell_angle_gamma 90.00
loop_
_atom_site_label
_atom_site_type_symbol
_atom_site_fract_x
_atom_site_fract_y
_atom_site_fract_z
Pr1 Pr 0.000 0.000 0.000
Pr2 Pr 0.164 0.500 0.667
Be1 Be 0.114 0.500 0.282
Pt1 Pt 0.066 0.000 0.378
Pt2 Pt 0.209 0.500 0.082



# PBE K2LaBiSb, optimized geometry
# - Crystal system: tetragonal
# - Raw formation energy: 42.2 kJ per mole of atoms
# - DOS(E_F): 8.4 states/eV per cell
# - Raw total energy: -12.941 eV/f.u.
data_K2LaBiSb
_chemical_formula_sum 'K2 La1 Bi1 Sb1'
_space_group_name_H-M_alt 'P 4/m m m'
_space_group_IT_number 123
_space_group_name_Hall '-P 4 2'
_cell_length_a 6.252
_cell_length_b 6.252
_cell_length_c 6.132
_cell_angle_alpha 90.00
_cell_angle_beta 90.00
_cell_angle_gamma 90.00
loop_
_atom_site_label
_atom_site_type_symbol
_atom_site_fract_x
_atom_site_fract_y
_atom_site_fract_z
K1 K 0.000 0.500 0.000
La1 La 0.000 0.000 0.500
Bi1 Bi 0.500 0.500 0.000
Sb1 Sb 0.500 0.500 0.500



# PBE Cs2Na2Bi, optimized geometry
# - DFT formation energy: -0.265 eV per atom
# - Energy above the lowest structure with this stoichiometry: 0.0 meV/atom
# - Crystal system: trigonal
# - DOS(E_F): 6.3 states/eV per cell
# - Raw total energy: -9.553 eV/f.u.
data_Cs2Na2Bi
_chemical_formula_sum 'Cs6 Na6 Bi3'
_space_group_name_H-M_alt 'R -3 m'
_space_group_IT_number 166
_space_group_name_Hall '-R 3 2"'
_cell_length_a 5.4860
_cell_length_b 5.4860
_cell_length_c 35.0002
_cell_angle_alpha 90.00
_cell_angle_beta 90.00
_cell_angle_gamma 120.00
loop_
_atom_site_label
_atom_site_type_symbol
_atom_site_fract_x
_atom_site_fract_y
_atom_site_fract_z
Cs1 Cs 0.0000 0.0000 0.0724
Na1 Na 0.0000 0.0000 0.1840
Bi1 Bi 0.0000 0.0000 0.5000